The following is a DFT calculation (GGA-PBE) of a relaxed structure of RbSmSiO4.

The value obtained for the uncorrected formation energy is -20.0 eV/f.u. The density of states at the Fermi level is 0.00 states/eV per cell. The value obtained for the density is 4492 kg/m3.

Unit cell a=5.734 b=5.741 c=7.678 alpha=90.00 beta=106.41 gamma=90.00
Space group P2_1/m (No. 11)
Inequivalent atoms, fractional coordinates:
Rb 0.194 0.250 0.428 x2
Sm 0.279 0.250 0.955 x2
Si 0.259 0.750 0.161 x2
O 0.079 0.750 0.950 x2
O 0.080 0.750 0.293 x2
O 0.447 0.525 0.181 x4